(1)
Material: Mg2BeHg
Method: DFT, PBE
State: optimized geometry

The structure in extended XYZ format:
```
4
Lattice="0.000 3.310 3.310 3.310 0.000 3.310 3.310 3.310 0.000" Properties=species:S:1:pos:R:3 pbc="T T T"
Mg 1.655 1.655 1.655
Mg 4.966 4.966 4.966
Be 0.000 0.000 0.000
Hg 3.310 3.310 3.310
```

Values from the calculation:
total moment	0.00	Bohr magnetons per cell
E_form	0.60	eV per formula unit
polymorph energy (0 for the lowest one)	59	meV per atom
DOS(E_F)	1.43	states/eV/f.u.

(2)
Material: Mg2BeHg
Method: DFT, PBE
State: optimized geometry

The structure in extended XYZ format:
```
4
Lattice="3.256 0.000 0.000 0.000 4.319 0.000 -1.590 0.000 5.247" Properties=species:S:1:pos:R:3 pbc="T T T"
Mg 0.000 0.000 0.000
Mg 0.014 2.159 3.478
Be 1.618 2.159 1.006
Hg 1.636 0.000 2.351
```

Values from the calculation:
total moment	0.00	Bohr magnetons per cell
E_form	0.37	eV per formula unit
polymorph energy (0 for the lowest one)	0	meV per atom
DOS(E_F)	1.11	states/eV/f.u.

(3)
Material: Mg3BeHg
Method: DFT, PBE
State: optimized geometry

The structure in extended XYZ format:
```
5
Lattice="5.204 0.000 0.000 0.000 5.204 0.000 0.000 0.000 5.204" Properties=species:S:1:pos:R:3 pbc="T T T"
Mg 0.000 0.000 2.602
Mg 0.000 2.602 0.000
Mg 2.602 0.000 0.000
Be 2.602 2.602 2.602
Hg 0.000 0.000 0.000
```

Values from the calculation:
total moment	0.00	Bohr magnetons per cell
E_form	3.26	eV per formula unit
polymorph energy (0 for the lowest one)	466	meV per atom
DOS(E_F)	1.97	states/eV/f.u.

(4)
Material: Mg2BeHg2
Method: DFT, PBE
State: optimized geometry

The structure in extended XYZ format:
```
10
Lattice="6.717 0.000 0.000 0.000 6.717 0.000 0.000 0.000 4.440" Properties=species:S:1:pos:R:3 pbc="T T T"
Mg 1.080 2.278 0.000
Mg 2.278 5.637 0.000
Mg 4.438 1.080 0.000
Mg 5.637 4.438 0.000
Be 0.000 0.000 2.220
Be 3.358 3.358 2.220
Hg 1.078 4.436 2.220
Hg 2.280 1.078 2.220
Hg 4.436 5.639 2.220
Hg 5.639 2.280 2.220
```

Values from the calculation:
total moment	0.00	Bohr magnetons per cell
E_form	0.46	eV per formula unit
polymorph energy (0 for the lowest one)	0	meV per atom
DOS(E_F)	1.55	states/eV/f.u.

(5)
Material: Mg2BeHg
Method: DFT, PBE
State: optimized geometry

The structure in extended XYZ format:
```
4
Lattice="-1.594 2.319 5.024 1.594 -2.319 5.024 1.594 2.319 -5.024" Properties=species:S:1:pos:R:3 pbc="T T T"
Mg 0.000 0.000 0.000
Mg 0.000 2.319 2.054
Be 1.594 0.000 2.247
Hg 0.000 0.000 4.233
```

Values from the calculation:
total moment	0.00	Bohr magnetons per cell
E_form	0.60	eV per formula unit
polymorph energy (0 for the lowest one)	58	meV per atom
DOS(E_F)	1.21	states/eV/f.u.

(6)
Material: Mg2BeHg2
Method: DFT, PBE
State: optimized geometry

The structure in extended XYZ format:
```
10
Lattice="7.162 0.000 0.000 0.000 7.162 0.000 0.000 0.000 4.103" Properties=species:S:1:pos:R:3 pbc="T T T"
Mg 1.109 2.473 0.000
Mg 2.473 6.054 0.000
Mg 4.690 1.109 0.000
Mg 6.054 4.690 0.000
Be 0.000 0.000 0.000
Be 3.581 3.581 0.000
Hg 1.109 4.690 2.051
Hg 2.472 1.109 2.051
Hg 4.690 6.053 2.051
Hg 6.053 2.472 2.051
```

Values from the calculation:
total moment	0.00	Bohr magnetons per cell
E_form	1.27	eV per formula unit
polymorph energy (0 for the lowest one)	163	meV per atom
DOS(E_F)	1.89	states/eV/f.u.

(7)
Material: Mg2BeHg
Method: DFT, PBE
State: optimized geometry

The structure in extended XYZ format:
```
4
Lattice="3.138 -3.282 0.000 3.138 3.282 0.000 0.000 0.000 3.540" Properties=species:S:1:pos:R:3 pbc="T T T"
Mg 1.569 1.641 0.000
Mg 1.569 -1.641 0.000
Be 0.000 0.000 1.770
Hg 3.138 0.000 1.770
```

Values from the calculation:
total moment	0.00	Bohr magnetons per cell
E_form	0.58	eV per formula unit
polymorph energy (0 for the lowest one)	53	meV per atom
DOS(E_F)	0.71	states/eV/f.u.

(8)
Material: MgBeHg3
Method: DFT, PBE
State: optimized geometry

The structure in extended XYZ format:
```
5
Lattice="4.824 0.000 0.000 0.000 4.824 0.000 0.000 0.000 4.824" Properties=species:S:1:pos:R:3 pbc="T T T"
Mg 0.000 0.000 0.000
Be 2.412 2.412 2.412
Hg 0.000 2.412 2.412
Hg 2.412 0.000 2.412
Hg 2.412 2.412 0.000
```

Values from the calculation:
total moment	0.00	Bohr magnetons per cell
E_form	0.90	eV per formula unit
polymorph energy (0 for the lowest one)	0	meV per atom
DOS(E_F)	1.61	states/eV/f.u.

(9)
Material: Mg2BeHg
Method: DFT, PBE
State: optimized geometry

The structure in extended XYZ format:
```
4
Lattice="1.588 0.917 8.923 -1.588 0.917 8.923 0.000 -1.833 8.923" Properties=species:S:1:pos:R:3 pbc="T T T"
Mg 0.000 0.000 6.356
Mg 0.000 0.000 20.414
Be 0.000 0.000 13.385
Hg 0.000 0.000 0.000
```

Values from the calculation:
total moment	0.00	Bohr magnetons per cell
E_form	0.87	eV per formula unit
polymorph energy (0 for the lowest one)	127	meV per atom
DOS(E_F)	0.60	states/eV/f.u.

(10)
Material: Mg2Be2Hg
Method: DFT, PBE
State: optimized geometry

The structure in extended XYZ format:
```
10
Lattice="6.402 0.000 0.000 0.000 6.402 0.000 0.000 0.000 3.934" Properties=species:S:1:pos:R:3 pbc="T T T"
Mg 1.077 2.124 0.000
Mg 2.124 5.325 0.000
Mg 4.278 1.077 0.000
Mg 5.325 4.278 0.000
Be 0.764 3.964 1.967
Be 2.437 0.764 1.967
Be 3.964 5.638 1.967
Be 5.638 2.437 1.967
Hg 0.000 0.000 1.967
Hg 3.201 3.201 1.967
```

Values from the calculation:
total moment	0.00	Bohr magnetons per cell
E_form	0.76	eV per formula unit
DOS(E_F)	1.83	states/eV/f.u.

(11)
Material: Mg2BeHg2
Method: DFT, PBE
State: optimized geometry

The structure in extended XYZ format:
```
5
Lattice="-2.013 2.013 7.333 2.013 -2.013 7.333 2.013 2.013 -7.333" Properties=species:S:1:pos:R:3 pbc="T T T"
Mg 0.000 0.000 1.397
Mg 0.000 0.000 13.270
Be 0.000 0.000 7.333
Hg 2.013 0.000 3.667
Hg 0.000 2.013 3.667
```

Values from the calculation:
total moment	0.00	Bohr magnetons per cell
E_form	2.30	eV per formula unit
polymorph energy (0 for the lowest one)	369	meV per atom
DOS(E_F)	2.19	states/eV/f.u.

(12)
Material: Mg2BeHg
Method: DFT, PBE
State: optimized geometry

The structure in extended XYZ format:
```
4
Lattice="3.478 0.000 0.000 0.000 3.582 0.000 0.000 0.000 5.911" Properties=species:S:1:pos:R:3 pbc="T T T"
Mg 0.000 0.000 0.000
Mg 1.739 1.791 1.692
Be 0.000 0.000 2.983
Hg 1.739 1.791 4.426
```

Values from the calculation:
total moment	0.00	Bohr magnetons per cell
E_form	0.78	eV per formula unit
polymorph energy (0 for the lowest one)	103	meV per atom
DOS(E_F)	0.99	states/eV/f.u.

(13)
Material: Mg2BeHg
Method: DFT, PBE
State: optimized geometry

The structure in extended XYZ format:
```
4
Lattice="0.000 3.274 3.274 3.274 0.000 3.274 3.274 3.274 0.000" Properties=species:S:1:pos:R:3 pbc="T T T"
Mg 0.000 0.000 0.000
Mg 1.637 1.637 1.637
Be 4.910 4.910 4.910
Hg 3.274 3.274 3.274
```

Values from the calculation:
total moment	0.00	Bohr magnetons per cell
E_form	0.88	eV per formula unit
polymorph energy (0 for the lowest one)	127	meV per atom
DOS(E_F)	0.89	states/eV/f.u.

(14)
Material: MgBeHg3
Method: DFT, PBE
State: optimized geometry

The structure in extended XYZ format:
```
5
Lattice="5.447 0.000 0.000 0.000 5.447 0.000 0.000 0.000 5.447" Properties=species:S:1:pos:R:3 pbc="T T T"
Mg 0.000 0.000 0.000
Be 2.723 2.723 2.723
Hg 0.000 0.000 2.723
Hg 0.000 2.723 0.000
Hg 2.723 0.000 0.000
```

Values from the calculation:
total moment	0.00	Bohr magnetons per cell
E_form	3.57	eV per formula unit
polymorph energy (0 for the lowest one)	536	meV per atom
DOS(E_F)	2.93	states/eV/f.u.

(15)
Material: Mg2BeHg
Method: DFT, PBE
State: optimized geometry

The structure in extended XYZ format:
```
4
Lattice="-2.179 2.179 3.801 2.179 -2.179 3.801 2.179 2.179 -3.801" Properties=species:S:1:pos:R:3 pbc="T T T"
Mg 2.179 0.000 1.900
Mg 0.000 2.179 1.900
Be 0.000 0.000 0.000
Hg 0.000 0.000 3.801
```

Values from the calculation:
total moment	0.00	Bohr magnetons per cell
E_form	0.58	eV per formula unit
polymorph energy (0 for the lowest one)	54	meV per atom
DOS(E_F)	1.35	states/eV/f.u.

(16)
Material: Mg3BeHg
Method: DFT, PBE
State: optimized geometry

The structure in extended XYZ format:
```
5
Lattice="4.822 0.000 0.000 0.000 4.822 0.000 0.000 0.000 4.822" Properties=species:S:1:pos:R:3 pbc="T T T"
Mg 0.000 0.000 2.411
Mg 0.000 2.411 0.000
Mg 2.411 0.000 0.000
Be 0.000 0.000 0.000
Hg 2.411 2.411 2.411
```

Values from the calculation:
total moment	0.00	Bohr magnetons per cell
E_form	0.92	eV per formula unit
polymorph energy (0 for the lowest one)	0	meV per atom
DOS(E_F)	2.75	states/eV/f.u.

(17)
Material: MgBeHg4
Method: DFT, PBE
State: optimized geometry

The structure in extended XYZ format:
```
6
Lattice="0.000 4.180 4.180 4.180 0.000 4.180 4.180 4.180 0.000" Properties=species:S:1:pos:R:3 pbc="T T T"
Mg 0.000 0.000 0.000
Be 6.269 6.269 6.269
Hg 3.136 3.136 3.136
Hg 5.223 5.223 3.136
Hg 5.223 3.136 5.223
Hg 3.136 5.223 5.223
```

Values from the calculation:
total moment	0.00	Bohr magnetons per cell
E_form	3.18	eV per formula unit
DOS(E_F)	2.97	states/eV/f.u.

(18)
Material: MgBe3Hg
Method: DFT, PBE
State: optimized geometry

The structure in extended XYZ format:
```
5
Lattice="4.566 0.000 0.000 0.000 4.566 0.000 0.000 0.000 4.566" Properties=species:S:1:pos:R:3 pbc="T T T"
Mg 0.000 0.000 0.000
Be 0.000 0.000 2.283
Be 0.000 2.283 0.000
Be 2.283 0.000 0.000
Hg 2.283 2.283 2.283
```

Values from the calculation:
total moment	0.00	Bohr magnetons per cell
E_form	7.02	eV per formula unit
polymorph energy (0 for the lowest one)	564	meV per atom
DOS(E_F)	2.38	states/eV/f.u.

(19)
Material: Mg2BeHg
Method: DFT, PBE
State: optimized geometry

The structure in extended XYZ format:
```
4
Lattice="-2.072 2.072 4.241 2.072 -2.072 4.241 2.072 2.072 -4.241" Properties=species:S:1:pos:R:3 pbc="T T T"
Mg 0.000 0.000 0.000
Mg 0.000 2.072 2.121
Be 2.072 0.000 2.121
Hg 0.000 0.000 4.241
```

Values from the calculation:
total moment	0.00	Bohr magnetons per cell
E_form	0.76	eV per formula unit
polymorph energy (0 for the lowest one)	98	meV per atom
DOS(E_F)	1.47	states/eV/f.u.

(20)
Material: Mg2BeHg
Method: DFT, PBE
State: optimized geometry

The structure in extended XYZ format:
```
4
Lattice="3.091 0.000 0.000 0.000 3.247 0.000 0.000 0.000 7.243" Properties=species:S:1:pos:R:3 pbc="T T T"
Mg 0.000 0.000 1.546
Mg 0.000 0.000 5.697
Be 1.545 1.624 0.000
Hg 1.545 1.624 3.622
```

Values from the calculation:
total moment	0.00	Bohr magnetons per cell
E_form	0.46	eV per formula unit
polymorph energy (0 for the lowest one)	23	meV per atom
DOS(E_F)	1.42	states/eV/f.u.